*w*
Below is a relaxed MgUSi2 crystal, with properties calculated at the PBE-GGA level.

The space group is P4/mmm (No. 123) and the conventional cell measures 4.369, 4.369 and 3.851 Å, with angles of 90.00, 90.00 and 90.00 degrees. The distinct sites, in fractional coordinates, are Mg at (0.000, 0.000, 0.000), U at (0.500, 0.500, 0.000) and Si at (0.000, 0.500, 0.500).

The calculation puts the density of states at the Fermi level at 4.7 states/eV per cell. The calculation puts the calculated volume at 18.374 Å³/atom.


*x*
Below is a relaxed MgUSi2 crystal, with properties calculated at the PBE-GGA level.

The space group is Fm-3m (No. 225) and the conventional cell measures 6.678, 6.678 and 6.678 Å, with angles of 90.00, 90.00 and 90.00 degrees. The distinct sites, in fractional coordinates, are Mg at (0.000, 0.000, 0.000), U at (0.000, 0.000, 0.500) and Si at (0.250, 0.250, 0.250).

The calculation puts the density of states at the Fermi level at 30.6 states/eV per cell. The calculation puts the calculated volume at 18.610 Å³/atom.


Which structure is the least stable? The one labeled *x*.